# 1
# PmBeSi

A relaxed structure of PmBeSi (PBE, Alexandria).

Results
* space-group type: I4mm, No. 107
* formation energy (no corrections): 171.3 meV per atom

Cell and atoms, written as POSCAR:
```
PmBeSi
1.0
4.046 0.000 0.000
0.000 4.046 0.000
-2.023 -2.023 3.884
Si Be Pm
1 1 1
direct
0.588 0.588 0.176
0.311 0.311 0.622
0.951 0.951 0.902
```


# 2
# MoRh2Br

A relaxed structure of MoRh2Br (PBE, Alexandria).

Results
* space-group type: Pmmm, No. 47
* formation energy (no corrections): 615.8 meV per atom

Cell and atoms, written as POSCAR:
```
MoRh2Br
1.0
-0.476 2.780 -0.836
-0.028 -1.349 -4.472
-4.522 -0.702 0.240
Rh Mo Br
2 1 1
direct
0.000 0.000 0.000
0.500 0.500 0.000
0.000 0.500 0.500
0.500 0.000 0.500
```


# 3
# Dy4ErBi3

A relaxed structure of Dy4ErBi3 (PBE, Alexandria).

Results
* space-group type: Immm, No. 71
* ΔE_f: -3.2 eV/f.u.

Cell and atoms, written as POSCAR:
```
Dy4ErBi3
1.0
4.038 0.000 0.000
0.000 8.627 -0.967
-2.019 -3.522 7.523
Dy Bi Er
4 3 1
direct
0.368 0.163 0.735
0.632 0.837 0.265
0.367 0.572 0.735
0.633 0.428 0.265
0.000 0.500 0.000
0.821 0.821 0.642
0.179 0.179 0.358
0.500 0.000 0.000
```